No. 1
This record from the Alexandria database describes a relaxed structure of CrRuI2. The functional is PBE.

Properties
Its excess energy over the best structure of this formula in the dataset is 0.57 eV per formula unit. The density comes out at 8.973 Mg/m³. Its uncorrected formation energy is 4.55 eV per formula unit.

Unit cell a=4.7398 b=4.7398 c=4.7398 alpha=60.00 beta=60.00 gamma=60.00
Sites, in units of the cell vectors:
1 I 0.7500 0.7500 0.7500
2 I 0.2500 0.2500 0.2500
3 Ru 0.5000 0.5000 0.5000
4 Cr 0.0000 0.0000 0.0000

---

No. 2
This record from the Alexandria database describes a relaxed structure of ZnInGa. The functional is PBE.

Properties
The calculation puts the calculated formation energy at 52.8 meV per atom. The density comes out at 6.512 Mg/m³.

Unit cell a=4.5326 b=5.0463 c=6.3971 alpha=70.18 beta=69.21 gamma=90.02
Sites, in units of the cell vectors:
1 In 0.3273 0.8669 0.9058
2 In 0.0687 0.1287 0.4205
3 Ga 0.0904 0.4152 0.7727
4 Ga 0.7002 0.5806 0.5536
5 Zn 0.6768 0.9970 0.1632
6 Zn 0.6795 0.4968 0.1637

---

No. 3
This record from the Alexandria database describes a relaxed structure of HoPuTcRu. The functional is PBE.

Properties
The calculation puts the calculated formation energy at -130.3 meV per atom. The density comes out at 13.111 Mg/m³.

Unit cell a=4.7754 b=4.7754 c=4.7754 alpha=60.00 beta=60.00 gamma=60.00
Sites, in units of the cell vectors:
1 Ru 0.0000 0.0000 0.0000
2 Tc 0.5000 0.5000 0.5000
3 Ho 0.7500 0.7500 0.7500
4 Pu 0.2500 0.2500 0.2500

---

No. 4
This record from the Alexandria database describes a relaxed structure of ZnRe2Cl. The functional is PBE.

Properties
Its excess energy over the best structure of this formula in the dataset is 0.00 eV per formula unit. The density comes out at 10.819 Mg/m³. Its uncorrected formation energy is 0.29 eV per formula unit.

Unit cell a=2.9828 b=3.0230 c=8.2021 alpha=79.16 beta=90.00 gamma=90.00
Sites, in units of the cell vectors:
1 Re 0.0000 0.7929 0.0404
2 Re 0.5000 0.1980 0.2264
3 Zn 0.0000 0.5915 0.4361
4 Cl 0.5000 0.9177 0.7971

---

Number 1: total moment 0.010 μB/f.u.. Number 2: total moment 0.000 μB/f.u.. Number 3: total moment 3.667 μB/f.u.. Number 4: total moment 0.000 μB/f.u..